Here is an optimized crystal structure of CrP2W from Alexandria. Energies are from PBE.

Results
E_form, meV per atom: -231
Symmetry: R3m (160)

a = 3.3490 Å, b = 3.3490 Å, c = 6.3506 Å
α = 74.71°, β = 74.71°, γ = 60.00°
Last column: nearest neighbours and their distance in Å.
Fractional positions:
Cr  0.6651  0.6651  0.0048  6 P 2.41-2.46
P  0.0819  0.0819  0.7543  3 Cr 2.46, 3 W 2.48
P  0.2522  0.2522  0.2433  3 Cr 2.41, 3 W 2.47
W  0.5008  0.5008  0.4976  6 P 2.47-2.48


Here is an optimized crystal structure of Y2BeO from Alexandria. Energies are from PBE.

Results
Raw formation energy, eV per atom: -0.4141
Symmetry: Fm-3m (225)

a = 4.6529 Å, b = 4.6529 Å, c = 4.6529 Å
α = 60.00°, β = 60.00°, γ = 60.00°
Last column: nearest neighbours and their distance in Å.
Fractional positions:
Y  0.2500  0.2500  0.2500  4 O 2.85, 4 Be 2.85
Y  0.7500  0.7500  0.7500  4 O 2.85, 4 Be 2.85
Be  0.0000  0.0000  0.0000  8 Y 2.85
O  0.5000  0.5000  0.5000  8 Y 2.85


Here is an optimized crystal structure of Sc2AsO from Alexandria. Energies are from PBE.

Results
Raw formation energy, eV per atom: -1.6923
Symmetry: R3m (160)

a = 3.7444 Å, b = 3.7445 Å, c = 6.8891 Å
α = 74.22°, β = 74.23°, γ = 59.99°
Last column: nearest neighbours and their distance in Å.
Fractional positions:
Sc  0.1330  0.5780  0.4989  1 O 2.17
Sc  0.5987  0.0439  0.1015  3 O 2.20
As  0.7290  0.1738  0.7113  4 Sc 2.55-2.57
O  0.2438  0.6889  0.1667  4 Sc 2.17-2.20


Here is an optimized crystal structure of MgHg2C from Alexandria. Energies are from PBE.

Results
E_form, meV per atom: 1218
Symmetry: Fm-3m (225)

a = 4.6914 Å, b = 4.6914 Å, c = 4.6914 Å
α = 60.00°, β = 60.00°, γ = 60.00°
Last column: nearest neighbours and their distance in Å.
Fractional positions:
C  0.0000  0.0000  0.0000  8 Hg 2.87
Mg  0.5000  0.5000  0.5000  8 Hg 2.87
Hg  0.2500  0.2500  0.2500  4 Mg 2.87, 4 C 2.87
Hg  0.7500  0.7500  0.7500  4 Mg 2.87, 4 C 2.87


In order of appearance, energy above the most stable polymorph in this dataset = 84, 276, 75, 115 kJ/mol of formula units.